# PBE-GGA Pr3Ga7Os2, relaxed
data_Pr3Ga7Os2
_chemical_formula_sum 'Pr3 Ga7 Os2'
_cell_length_a 12.8120
_cell_length_b 12.8120
_cell_length_c 12.8120
_cell_angle_alpha 158.66
_cell_angle_beta 158.66
_cell_angle_gamma 30.36
_symmetry_space_group_name_H-M 'P 1'
_symmetry_Int_Tables_number 1
loop_
_symmetry_equiv_pos_as_xyz
'x,y,z'
loop_
_atom_site_label
_atom_site_type_symbol
_atom_site_fract_x
_atom_site_fract_y
_atom_site_fract_z
Pr1 Pr 0.0000 0.0000 0.0000
Pr2 Pr 0.1816 0.1816 0.0000
Pr3 Pr 0.8184 0.8184 0.0000
Ga1 Ga 0.0928 0.5928 0.5000
Ga2 Ga 0.3007 0.3007 0.0000
Ga3 Ga 0.4072 0.9072 0.5000
Ga4 Ga 0.5000 0.5000 0.0000
Ga5 Ga 0.5928 0.0928 0.5000
Ga6 Ga 0.6993 0.6993 0.0000
Ga7 Ga 0.9072 0.4072 0.5000
Os1 Os 0.4023 0.4023 0.0000
Os2 Os 0.5977 0.5977 0.0000
# * calculated volume: 23.19 Å³ per atom
# * space group: I4/mmm, No. 139
# * final energy: -5.15 eV/atom
# * crystal system: tetragonal
# * D(E_F): 5.1 states/eV per cell

***

# PBE-GGA PrScGaOs, relaxed
data_PrScGaOs
_chemical_formula_sum 'Pr4 Sc4 Ga4 Os4'
_cell_length_a 6.9395
_cell_length_b 6.9395
_cell_length_c 6.9395
_cell_angle_alpha 90.00
_cell_angle_beta 90.00
_cell_angle_gamma 90.00
_symmetry_space_group_name_H-M 'P 1'
_symmetry_Int_Tables_number 1
loop_
_symmetry_equiv_pos_as_xyz
'x,y,z'
loop_
_atom_site_label
_atom_site_type_symbol
_atom_site_fract_x
_atom_site_fract_y
_atom_site_fract_z
Pr1 Pr 0.0000 0.0000 0.0000
Pr2 Pr 0.0000 0.5000 0.5000
Pr3 Pr 0.5000 0.0000 0.5000
Pr4 Pr 0.5000 0.5000 0.0000
Sc1 Sc 0.0000 0.0000 0.5000
Sc2 Sc 0.0000 0.5000 0.0000
Sc3 Sc 0.5000 0.0000 0.0000
Sc4 Sc 0.5000 0.5000 0.5000
Ga1 Ga 0.2500 0.2500 0.7500
Ga2 Ga 0.2500 0.7500 0.2500
Ga3 Ga 0.7500 0.2500 0.2500
Ga4 Ga 0.7500 0.7500 0.7500
Os1 Os 0.2500 0.2500 0.2500
Os2 Os 0.2500 0.7500 0.7500
Os3 Os 0.7500 0.2500 0.7500
Os4 Os 0.7500 0.7500 0.2500
# * calculated volume: 20.89 Å³ per atom
# * space group: F-43m, No. 216
# * final energy: -6.57 eV/atom
# * crystal system: cubic
# * D(E_F): 9.8 states/eV per cell

***

# PBE-GGA PrThGaOs, relaxed
data_PrThGaOs
_chemical_formula_sum 'Pr2 Th2 Ga2 Os2'
_cell_length_a 3.9268
_cell_length_b 4.2330
_cell_length_c 12.0055
_cell_angle_alpha 90.00
_cell_angle_beta 90.00
_cell_angle_gamma 90.00
_symmetry_space_group_name_H-M 'P 1'
_symmetry_Int_Tables_number 1
loop_
_symmetry_equiv_pos_as_xyz
'x,y,z'
loop_
_atom_site_label
_atom_site_type_symbol
_atom_site_fract_x
_atom_site_fract_y
_atom_site_fract_z
Pr1 Pr 0.0000 0.0000 0.0000
Pr2 Pr 0.0000 0.5000 0.5000
Th1 Th 0.5000 0.0000 0.2768
Th2 Th 0.5000 0.5000 0.7768
Ga1 Ga 0.5000 0.0000 0.5852
Ga2 Ga 0.5000 0.5000 0.0852
Os1 Os 0.0000 0.0000 0.7349
Os2 Os 0.0000 0.5000 0.2349
# * calculated volume: 24.94 Å³ per atom
# * distance to the lowest polymorph of the same formula: 0.000 eV/atom
# * space group: Amm2, No. 38
# * final energy: -7.04 eV/atom
# * crystal system: orthorhombic
# * D(E_F): 7.1 states/eV per cell

***

# PBE-GGA PrThGaOs, relaxed
data_PrThGaOs
_chemical_formula_sum 'Pr4 Th4 Ga4 Os4'
_cell_length_a 7.2582
_cell_length_b 7.2582
_cell_length_c 7.2582
_cell_angle_alpha 90.00
_cell_angle_beta 90.00
_cell_angle_gamma 90.00
_symmetry_space_group_name_H-M 'P 1'
_symmetry_Int_Tables_number 1
loop_
_symmetry_equiv_pos_as_xyz
'x,y,z'
loop_
_atom_site_label
_atom_site_type_symbol
_atom_site_fract_x
_atom_site_fract_y
_atom_site_fract_z
Pr1 Pr 0.0000 0.0000 0.0000
Pr2 Pr 0.0000 0.5000 0.5000
Pr3 Pr 0.5000 0.0000 0.5000
Pr4 Pr 0.5000 0.5000 0.0000
Th1 Th 0.0000 0.0000 0.5000
Th2 Th 0.0000 0.5000 0.0000
Th3 Th 0.5000 0.0000 0.0000
Th4 Th 0.5000 0.5000 0.5000
Ga1 Ga 0.2500 0.2500 0.7500
Ga2 Ga 0.2500 0.7500 0.2500
Ga3 Ga 0.7500 0.2500 0.2500
Ga4 Ga 0.7500 0.7500 0.7500
Os1 Os 0.2500 0.2500 0.2500
Os2 Os 0.2500 0.7500 0.7500
Os3 Os 0.7500 0.2500 0.7500
Os4 Os 0.7500 0.7500 0.2500
# * calculated volume: 23.90 Å³ per atom
# * distance to the lowest polymorph of the same formula: 0.248 eV/atom
# * space group: F-43m, No. 216
# * final energy: -6.79 eV/atom
# * crystal system: cubic
# * D(E_F): 9.6 states/eV per cell

***

# PBE-GGA PrTmGaOs, relaxed
data_PrTmGaOs
_chemical_formula_sum 'Pr4 Tm4 Ga4 Os4'
_cell_length_a 7.0749
_cell_length_b 7.0749
_cell_length_c 7.0749
_cell_angle_alpha 90.00
_cell_angle_beta 90.00
_cell_angle_gamma 90.00
_symmetry_space_group_name_H-M 'P 1'
_symmetry_Int_Tables_number 1
loop_
_symmetry_equiv_pos_as_xyz
'x,y,z'
loop_
_atom_site_label
_atom_site_type_symbol
_atom_site_fract_x
_atom_site_fract_y
_atom_site_fract_z
Pr1 Pr 0.0000 0.0000 0.0000
Pr2 Pr 0.0000 0.5000 0.5000
Pr3 Pr 0.5000 0.0000 0.5000
Pr4 Pr 0.5000 0.5000 0.0000
Tm1 Tm 0.0000 0.0000 0.5000
Tm2 Tm 0.0000 0.5000 0.0000
Tm3 Tm 0.5000 0.0000 0.0000
Tm4 Tm 0.5000 0.5000 0.5000
Ga1 Ga 0.2500 0.2500 0.2500
Ga2 Ga 0.2500 0.7500 0.7500
Ga3 Ga 0.7500 0.2500 0.7500
Ga4 Ga 0.7500 0.7500 0.2500
Os1 Os 0.2500 0.2500 0.7500
Os2 Os 0.2500 0.7500 0.2500
Os3 Os 0.7500 0.2500 0.2500
Os4 Os 0.7500 0.7500 0.7500
# * calculated volume: 22.13 Å³ per atom
# * space group: F-43m, No. 216
# * final energy: -6.12 eV/atom
# * crystal system: cubic
# * D(E_F): 10.6 states/eV per cell

***

# PBE-GGA Ga2OsPt2, relaxed
data_Ga2OsPt2
_chemical_formula_sum 'Ga4 Os2 Pt4'
_cell_length_a 7.4248
_cell_length_b 7.4248
_cell_length_c 2.7719
_cell_angle_alpha 90.00
_cell_angle_beta 90.00
_cell_angle_gamma 90.00
_symmetry_space_group_name_H-M 'P 1'
_symmetry_Int_Tables_number 1
loop_
_symmetry_equiv_pos_as_xyz
'x,y,z'
loop_
_atom_site_label
_atom_site_type_symbol
_atom_site_fract_x
_atom_site_fract_y
_atom_site_fract_z
Ga1 Ga 0.1528 0.3472 0.0000
Ga2 Ga 0.3472 0.8472 0.0000
Ga3 Ga 0.6528 0.1528 0.0000
Ga4 Ga 0.8472 0.6528 0.0000
Os1 Os 0.0000 0.0000 0.0000
Os2 Os 0.5000 0.5000 0.0000
Pt1 Pt 0.1461 0.6461 0.5000
Pt2 Pt 0.3539 0.1461 0.5000
Pt3 Pt 0.6461 0.8539 0.5000
Pt4 Pt 0.8539 0.3539 0.5000
# * calculated volume: 15.28 Å³ per atom
# * space group: P4/mbm, No. 127
# * final energy: -5.94 eV/atom
# * crystal system: tetragonal
# * D(E_F): 7.6 states/eV per cell

***

# PBE-GGA Ga3OsPt, relaxed
data_Ga3OsPt
_chemical_formula_sum 'Ga3 Os1 Pt1'
_cell_length_a 4.7267
_cell_length_b 4.7267
_cell_length_c 4.7267
_cell_angle_alpha 90.00
_cell_angle_beta 90.00
_cell_angle_gamma 90.00
_symmetry_space_group_name_H-M 'P 1'
_symmetry_Int_Tables_number 1
loop_
_symmetry_equiv_pos_as_xyz
'x,y,z'
loop_
_atom_site_label
_atom_site_type_symbol
_atom_site_fract_x
_atom_site_fract_y
_atom_site_fract_z
Ga1 Ga 0.0000 0.0000 0.5000
Ga2 Ga 0.0000 0.5000 0.0000
Ga3 Ga 0.5000 0.0000 0.0000
Os1 Os 0.0000 0.0000 0.0000
Pt1 Pt 0.5000 0.5000 0.5000
# * calculated volume: 21.12 Å³ per atom
# * distance to the lowest polymorph of the same formula: 0.000 eV/atom
# * space group: Pm-3m, No. 221
# * final energy: -4.82 eV/atom
# * crystal system: cubic
# * D(E_F): 4.4 states/eV per cell

***

# PBE-GGA GaOs3Pt, relaxed
data_GaOs3Pt
_chemical_formula_sum 'Ga1 Os3 Pt1'
_cell_length_a 4.7657
_cell_length_b 4.7657
_cell_length_c 4.7657
_cell_angle_alpha 90.00
_cell_angle_beta 90.00
_cell_angle_gamma 90.00
_symmetry_space_group_name_H-M 'P 1'
_symmetry_Int_Tables_number 1
loop_
_symmetry_equiv_pos_as_xyz
'x,y,z'
loop_
_atom_site_label
_atom_site_type_symbol
_atom_site_fract_x
_atom_site_fract_y
_atom_site_fract_z
Ga1 Ga 0.0000 0.0000 0.0000
Os1 Os 0.0000 0.5000 0.5000
Os2 Os 0.5000 0.0000 0.5000
Os3 Os 0.5000 0.5000 0.0000
Pt1 Pt 0.5000 0.5000 0.5000
# * calculated volume: 21.65 Å³ per atom
# * distance to the lowest polymorph of the same formula: 0.525 eV/atom
# * space group: Pm-3m, No. 221
# * final energy: -6.05 eV/atom
# * crystal system: cubic
# * D(E_F): 9.1 states/eV per cell

***

# PBE-GGA GaOs3Pt, relaxed
data_GaOs3Pt
_chemical_formula_sum 'Ga1 Os3 Pt1'
_cell_length_a 4.4546
_cell_length_b 4.4546
_cell_length_c 4.4546
_cell_angle_alpha 90.00
_cell_angle_beta 90.00
_cell_angle_gamma 90.00
_symmetry_space_group_name_H-M 'P 1'
_symmetry_Int_Tables_number 1
loop_
_symmetry_equiv_pos_as_xyz
'x,y,z'
loop_
_atom_site_label
_atom_site_type_symbol
_atom_site_fract_x
_atom_site_fract_y
_atom_site_fract_z
Ga1 Ga 0.0000 0.0000 0.0000
Os1 Os 0.0000 0.0000 0.5000
Os2 Os 0.0000 0.5000 0.0000
Os3 Os 0.5000 0.0000 0.0000
Pt1 Pt 0.5000 0.5000 0.5000
# * calculated volume: 17.68 Å³ per atom
# * distance to the lowest polymorph of the same formula: 0.000 eV/atom
# * space group: Pm-3m, No. 221
# * final energy: -6.57 eV/atom
# * crystal system: cubic
# * D(E_F): 10.5 states/eV per cell

***

# PBE-GGA GaOsRuPt2, relaxed
data_GaOsRuPt2
_chemical_formula_sum 'Ga1 Os1 Ru1 Pt2'
_cell_length_a 4.5539
_cell_length_b 4.5539
_cell_length_c 4.5466
_cell_angle_alpha 90.00
_cell_angle_beta 90.00
_cell_angle_gamma 90.00
_symmetry_space_group_name_H-M 'P 1'
_symmetry_Int_Tables_number 1
loop_
_symmetry_equiv_pos_as_xyz
'x,y,z'
loop_
_atom_site_label
_atom_site_type_symbol
_atom_site_fract_x
_atom_site_fract_y
_atom_site_fract_z
Ga1 Ga 0.0000 0.0000 0.0000
Os1 Os 0.5000 0.5000 0.5000
Ru1 Ru 0.0000 0.0000 0.5000
Pt1 Pt 0.0000 0.5000 0.0000
Pt2 Pt 0.5000 0.0000 0.0000
# * calculated volume: 18.86 Å³ per atom
# * space group: P4/mmm, No. 123
# * final energy: -5.70 eV/atom
# * crystal system: tetragonal
# * D(E_F): 5.8 states/eV per cell

***

# PBE-GGA TiGaOsPt, relaxed
data_TiGaOsPt
_chemical_formula_sum 'Ti4 Ga4 Os4 Pt4'
_cell_length_a 6.2096
_cell_length_b 6.2096
_cell_length_c 6.2096
_cell_angle_alpha 90.00
_cell_angle_beta 90.00
_cell_angle_gamma 90.00
_symmetry_space_group_name_H-M 'P 1'
_symmetry_Int_Tables_number 1
loop_
_symmetry_equiv_pos_as_xyz
'x,y,z'
loop_
_atom_site_label
_atom_site_type_symbol
_atom_site_fract_x
_atom_site_fract_y
_atom_site_fract_z
Ti1 Ti 0.0000 0.0000 0.0000
Ti2 Ti 0.0000 0.5000 0.5000
Ti3 Ti 0.5000 0.0000 0.5000
Ti4 Ti 0.5000 0.5000 0.0000
Ga1 Ga 0.0000 0.0000 0.5000
Ga2 Ga 0.0000 0.5000 0.0000
Ga3 Ga 0.5000 0.0000 0.0000
Ga4 Ga 0.5000 0.5000 0.5000
Os1 Os 0.2500 0.2500 0.7500
Os2 Os 0.2500 0.7500 0.2500
Os3 Os 0.7500 0.2500 0.2500
Os4 Os 0.7500 0.7500 0.7500
Pt1 Pt 0.2500 0.2500 0.2500
Pt2 Pt 0.2500 0.7500 0.7500
Pt3 Pt 0.7500 0.2500 0.7500
Pt4 Pt 0.7500 0.7500 0.2500
# * calculated volume: 14.96 Å³ per atom
# * space group: F-43m, No. 216
# * final energy: -7.57 eV/atom
# * crystal system: cubic
# * D(E_F): 14.7 states/eV per cell

***

# PBE-GGA V2GaOsPt, relaxed
data_V2GaOsPt
_chemical_formula_sum 'V2 Ga1 Os1 Pt1'
_cell_length_a 4.6037
_cell_length_b 4.6037
_cell_length_c 4.5205
_cell_angle_alpha 90.00
_cell_angle_beta 90.00
_cell_angle_gamma 90.00
_symmetry_space_group_name_H-M 'P 1'
_symmetry_Int_Tables_number 1
loop_
_symmetry_equiv_pos_as_xyz
'x,y,z'
loop_
_atom_site_label
_atom_site_type_symbol
_atom_site_fract_x
_atom_site_fract_y
_atom_site_fract_z
V1 V 0.0000 0.5000 0.0000
V2 V 0.5000 0.0000 0.0000
Ga1 Ga 0.0000 0.0000 0.5000
Os1 Os 0.5000 0.5000 0.5000
Pt1 Pt 0.0000 0.0000 0.0000
# * calculated volume: 19.16 Å³ per atom
# * space group: P4/mmm, No. 123
# * final energy: -6.36 eV/atom
# * crystal system: tetragonal
# * D(E_F): 8.3 states/eV per cell